A plane-wave DFT calculation with PBE-GGA was carried out for a relaxed structure of PtSe2Br6.

Computed properties:
Raw total energy = -48.613 eV per cell
Spin magnetization = 0.0 Bohr magnetons per cell

a = 6.472 Å, b = 10.971 Å, c = 10.971 Å
α = 104.74°, β = 97.93°, γ = 97.93°
Fractional positions:
Pt  0.250  0.052  0.948
Pt  0.750  0.948  0.052
Se  0.282  0.521  0.651
Se  0.218  0.349  0.479
Se  0.718  0.479  0.349
Se  0.782  0.651  0.521
Br  0.547  0.793  0.481
Br  0.953  0.519  0.207
Br  0.453  0.207  0.519
Br  0.047  0.481  0.793
Br  0.947  0.963  0.266
Br  0.553  0.734  0.037
Br  0.053  0.037  0.734
Br  0.447  0.266  0.963
Br  0.022  0.841  0.946
Br  0.478  0.054  0.159
Br  0.978  0.159  0.054
Br  0.522  0.946  0.841